[1]
Computed, not measured: crystalline Tb3Nd4Sc at its relaxed geometry at the GGA-PBE level of DFT.

Cell: 3.6755 5.4750 13.6614 Å, 101.56 97.70 90.00°
Sites, in units of the cell vectors:
Tb1 0.1401 0.1403 0.2805
Tb2 0.8599 0.8597 0.7195
Nd1 0.7172 0.7186 0.4372
Tb3 0.5000 0.0000 0.0000
Nd2 0.5960 0.5954 0.1907
Nd3 0.4040 0.4046 0.8093
Sc1 0.0000 0.5000 0.0000
Nd4 0.2828 0.2814 0.5628

The value obtained for the total energy is -38.09 eV per cell. For the spin magnetization, the calculation gives 0.000 μB/atom. As for the polymorph energy (0 for the lowest one): 108.3 meV/atom. The formation energy is 3.46 kcal/mol of atoms.

***

[2]
Computed, not measured: crystalline Tb2Nd3ScTe6 at its relaxed geometry at the GGA-PBE level of DFT.

Cell: 4.3643 8.8909 9.8760 Å, 103.82 102.77 90.00°
Sites, in units of the cell vectors:
Nd1 0.5000 0.5000 0.0000
Te1 0.6687 0.5782 0.3373
Tb1 0.8331 0.6662 0.6661
Sc1 0.5000 0.0000 0.0000
Nd2 0.8284 0.1630 0.6568
Te2 0.6579 0.0862 0.3158
Te3 0.3313 0.4218 0.6627
Te4 0.9998 0.7673 0.9996
Te5 0.0002 0.2327 0.0004
Te6 0.3421 0.9138 0.6842
Tb2 0.1669 0.3338 0.3339
Nd3 0.1716 0.8370 0.3432

The value obtained for the total energy is -64.69 eV per cell. For the spin magnetization, the calculation gives 0.000 μB/atom. For the formation energy (no corrections), the calculation gives -1329 meV/atom.

***

[3]
Computed, not measured: crystalline TbNd2ScTe4 at its relaxed geometry at the GGA-PBE level of DFT.

Cell: 4.3291 7.5484 7.7270 Å, 108.78 90.00 90.00°
Sites, in units of the cell vectors:
Nd1 0.5000 0.0000 0.5000
Te1 0.5000 0.2354 0.2288
Sc1 0.0000 0.0000 0.0000
Te2 0.0000 0.2478 0.7657
Te3 0.0000 0.7522 0.2343
Nd2 0.0000 0.5000 0.5000
Tb1 0.5000 0.5000 0.0000
Te4 0.5000 0.7646 0.7712

The value obtained for the total energy is -43.51 eV per cell. For the spin magnetization, the calculation gives 0.000 μB/atom. For the formation energy (no corrections), the calculation gives -1306 meV/atom.